No. 1
PmMgAg2: relaxed, PBE.

Results
Space-group type ... No. 123
ΔE_f ... -0.1594 eV/atom
DFT total energy ... -3.1713 eV/atom
Magnetization ... 0.000 μB per cell

a b c (Å): 3.3530 5.2022 5.2022
angles (deg): 90.00 90.00 90.00
Last column: nearest neighbours and their distance in Å.
Positions (direct):
Pm  0.5000  0.5000  0.5000  8 Ag 3.09, 2 Pm 3.35
Ag  0.0000  0.5000  0.0000  4 Mg 3.09, 4 Pm 3.09, 2 Ag 3.35
Ag  0.0000  0.0000  0.5000  4 Mg 3.09, 4 Pm 3.09, 2 Ag 3.35
Mg  0.5000  0.0000  0.0000  8 Ag 3.09, 2 Mg 3.35

No. 2
Tm2TlAgTe4: relaxed, PBE.

Results
Space-group type ... No. 63
DFT total energy ... -4.2656 eV/atom
Magnetization ... 0.000 μB per cell

a b c (Å): 4.3850 7.7207 15.6931
angles (deg): 90.00 90.00 106.50
Last column: nearest neighbours and their distance in Å.
Positions (direct):
Te  0.4554  0.9108  0.7500  2 Ag 2.78, 2 Tm 3.06
Te  0.0000  0.0000  0.5000  4 Tm 3.12
Te  0.5446  0.0892  0.2500  2 Ag 2.78, 2 Tm 3.06
Te  0.2685  0.5370  0.3966  1 Ag 2.80, 3 Tm 3.05-3.14
Te  0.2685  0.5370  0.1034  1 Ag 2.80, 3 Tm 3.05-3.14
Te  0.0000  0.0000  0.0000  4 Tm 3.12
Te  0.7315  0.4630  0.8966  1 Ag 2.80, 3 Tm 3.05-3.14
Te  0.7315  0.4630  0.6034  1 Ag 2.80, 3 Tm 3.05-3.14
Ag  0.8397  0.6794  0.7500  4 Te 2.78-2.80
Ag  0.1603  0.3206  0.2500  4 Te 2.78-2.80
Tl  0.8682  0.7363  0.2500  6 Te 3.41-3.50, 2 Ag 3.78
Tl  0.1318  0.2637  0.7500  6 Te 3.41-3.50, 2 Ag 3.78
Tm  0.3707  0.7415  0.5718  6 Te 3.05-3.14
Tm  0.3707  0.7415  0.9282  6 Te 3.05-3.14
Tm  0.6293  0.2585  0.0718  6 Te 3.05-3.14
Tm  0.6293  0.2585  0.4282  6 Te 3.05-3.14

No. 3
Ac3TbPr2Se6: relaxed, PBE.

Results
Space-group type ... No. 12
DFT total energy ... -5.7907 eV/atom
Magnetization ... 0.000 μB per cell

a b c (Å): 7.4919 7.4919 7.5546
angles (deg): 99.52 99.52 120.15
Last column: nearest neighbours and their distance in Å.
Positions (direct):
Pr  0.3335  0.6665  0.0000  6 Se 3.02-3.04
Pr  0.6665  0.3335  0.0000  6 Se 3.02-3.04
Se  0.4006  0.0767  0.2311  1 Tb 2.93, 2 Pr 3.02, 3 Ac 3.12-3.17
Se  0.7550  0.7550  0.2362  1 Tb 2.95, 2 Pr 3.04, 3 Ac 3.14-3.18
Se  0.2450  0.2450  0.7638  1 Tb 2.95, 2 Pr 3.04, 3 Ac 3.14-3.18
Se  0.0767  0.4006  0.2311  1 Tb 2.93, 2 Pr 3.02, 3 Ac 3.12-3.17
Se  0.5994  0.9233  0.7689  1 Tb 2.93, 2 Pr 3.02, 3 Ac 3.12-3.17
Se  0.9233  0.5994  0.7689  1 Tb 2.93, 2 Pr 3.02, 3 Ac 3.12-3.17
Tb  0.0000  0.0000  0.0000  6 Se 2.93-2.95
Ac  0.8291  0.1709  0.5000  6 Se 3.12-3.17
Ac  0.1709  0.8291  0.5000  6 Se 3.12-3.17
Ac  0.5000  0.5000  0.5000  6 Se 3.12-3.18